{"formula": "CsNaSr2", "functional": "PBE", "state": "optimized geometry", "ef_ev_per_atom": 0.1572, "total_magnetization_mub_per_fu": 0.00, "lattice_angstrom": [[-5.695, -2.201, -3.099], [3.306, -2.611, -4.222], [0.175, -5.008, 3.235]], "species": ["Cs", "Sr", "Sr", "Na"], "fractional_positions": [[0.500, 0.500, 0.500], [0.000, 0.000, 0.500], [0.000, 0.500, 0.000], [0.500, 0.000, 0.000]]}